Record 1
First-principles (PBE) data for a geometry-optimized ThTaAu structure, as listed in OQMD via LeMat-Bulk.

Lattice parameters (Å, degrees): 6.9234 6.9234 6.9234 90.00 90.00 90.00
Space group F-43m (No. 216)
Unique sites:
Th1 0.0000 0.0000 0.0000
Ta1 0.2500 0.2500 0.2500
Au1 0.2500 0.2500 0.7500

Properties
Energy above the lowest structure with this stoichiometry: 502 meV/atom
M_tot: 8.569 μB per cell
Energy of formation: 0.98 eV per atom

Record 2
First-principles (PBE) data for a geometry-optimized TaTlAu2 structure, as listed in OQMD via LeMat-Bulk.

Lattice parameters (Å, degrees): 6.7524 6.7524 6.7524 90.00 90.00 90.00
Space group F-43m (No. 216)
Unique sites:
Ta1 0.0000 0.0000 0.0000
Tl1 0.2500 0.2500 0.7500
Au1 0.0000 0.0000 0.5000
Au2 0.2500 0.2500 0.2500

Properties
M_tot: 0.023 μB per cell

Record 3
First-principles (PBE) data for a geometry-optimized TmTaAu structure, as listed in OQMD via LeMat-Bulk.

Lattice parameters (Å, degrees): 6.6422 6.6422 6.6422 90.00 90.00 90.00
Space group F-43m (No. 216)
Unique sites:
Tm1 0.0000 0.0000 0.0000
Ta1 0.2500 0.2500 0.2500
Au1 0.2500 0.2500 0.7500

Properties
M_tot: 8.795 μB per cell
Energy of formation: 0.99 eV per atom

Record 4
First-principles (PBE) data for a geometry-optimized TaWAu structure, as listed in OQMD via LeMat-Bulk.

Lattice parameters (Å, degrees): 6.2679 6.2679 6.2679 90.00 90.00 90.00
Space group F-43m (No. 216)
Unique sites:
Ta1 0.0000 0.0000 0.0000
W1 0.2500 0.2500 0.7500
Au1 0.0000 0.0000 0.5000

Properties
Energy above the lowest structure with this stoichiometry: 0 meV/atom
M_tot: 0.028 μB per cell
Energy of formation: 1.02 eV per atom

Record 5
First-principles (PBE) data for a geometry-optimized TaZn2Au structure, as listed in OQMD via LeMat-Bulk.

Lattice parameters (Å, degrees): 6.3998 6.3998 6.3998 90.00 90.00 90.00
Space group F-43m (No. 216)
Unique sites:
Ta1 0.0000 0.0000 0.0000
Zn1 0.0000 0.0000 0.5000
Zn2 0.2500 0.2500 0.7500
Au1 0.2500 0.2500 0.2500

Properties
M_tot: 0.042 μB per cell
Energy of formation: 0.15 eV per atom

Record 6
First-principles (PBE) data for a geometry-optimized TaZnAu2 structure, as listed in OQMD via LeMat-Bulk.

Lattice parameters (Å, degrees): 6.4731 6.4731 6.4731 90.00 90.00 90.00
Space group F-43m (No. 216)
Unique sites:
Ta1 0.0000 0.0000 0.0000
Zn1 0.2500 0.2500 0.7500
Au1 0.0000 0.0000 0.5000
Au2 0.2500 0.2500 0.2500

Properties
M_tot: 0.012 μB per cell
Energy of formation: 0.10 eV per atom

Record 7
First-principles (PBE) data for a geometry-optimized Tb2Au structure, as listed in OQMD via LeMat-Bulk.

Lattice parameters (Å, degrees): 8.5522 8.5522 8.5522 90.00 90.00 90.00
Space group Fd-3m (No. 227, origin choice 2)
Unique sites:
Tb1 0.0000 0.0000 0.0000
Au1 0.1250 0.1250 0.6250

Properties
M_tot: 0.013 μB per cell
Energy of formation: 0.28 eV per atom

Record 8
First-principles (PBE) data for a geometry-optimized TbAu2 structure, as listed in OQMD via LeMat-Bulk.

Lattice parameters (Å, degrees): 7.9572 7.9572 7.9572 90.00 90.00 90.00
Space group Fd-3m (No. 227, origin choice 2)
Unique sites:
Tb1 0.1250 0.1250 0.1250
Au1 0.0000 0.0000 0.5000

Properties
M_tot: 0.004 μB per cell
Energy of formation: -0.53 eV per atom

Record 9
First-principles (PBE) data for a geometry-optimized Tb2Au structure, as listed in OQMD via LeMat-Bulk.

Lattice parameters (Å, degrees): 7.1070 4.9759 8.9913 90.00 90.00 90.00
Space group Pnma (No. 62)
Unique sites:
Tb1 0.0122 0.2500 0.1756
Tb2 0.1493 0.2500 0.5822
Au1 0.2406 0.2500 0.9014

Properties
M_tot: 0.009 μB per cell
Energy of formation: -0.63 eV per atom

Record 10
First-principles (PBE) data for a geometry-optimized TbAu2 structure, as listed in OQMD via LeMat-Bulk.

Lattice parameters (Å, degrees): 3.7417 3.7417 9.0871 90.00 90.00 90.00
Space group I4/mmm (No. 139)
Unique sites:
Tb1 0.0000 0.0000 0.0000
Au1 0.0000 0.0000 0.3348

Properties
M_tot: 0.006 μB per cell
Energy of formation: -0.86 eV per atom

Record 11
First-principles (PBE) data for a geometry-optimized TbAu structure, as listed in OQMD via LeMat-Bulk.

Lattice parameters (Å, degrees): 3.5757 3.5757 4.2967 90.00 90.00 120.00
Space group P-6m2 (No. 187)
Unique sites:
Tb1 0.0000 0.0000 0.0000
Au1 0.3333 0.6667 0.5000

Properties
M_tot: 0.003 μB per cell
Energy of formation: -0.63 eV per atom

Record 12
First-principles (PBE) data for a geometry-optimized TbAu structure, as listed in OQMD via LeMat-Bulk.

Lattice parameters (Å, degrees): 3.7448 10.9722 4.6594 90.00 90.00 90.00
Space group Cmcm (No. 63)
Unique sites:
Tb1 0.0000 0.1393 0.2500
Au1 0.0000 0.4120 0.2500

Properties
M_tot: 0.007 μB per cell
Energy of formation: -0.88 eV per atom

no.,raw total energy (eV/atom)
1,-6.53
2,-4.75
3,-5.54
4,-8.34
5,-4.27
6,-4.82
7,-3.90
8,-4.25
9,-4.80
10,-4.58
11,-4.57
12,-4.83